Entry 1:
Below is a geometry-optimized Tc2As3 structure, with properties calculated at the PBE level. Values from VASP.

Cell and atoms, written as Quantum ESPRESSO input:
```
&SYSTEM
  ibrav = 0, nat = 5, ntyp = 2
/
ATOMIC_SPECIES
Tc 98.00 Tc.upf
As 74.92 As.upf
CELL_PARAMETERS angstrom
9.682 -1.573 -0.013
9.682 1.573 -0.013
9.430 0.000 2.699
ATOMIC_POSITIONS angstrom
Tc 11.559 0.000 1.073
Tc 17.235 0.000 1.600
As 0.000 0.000 0.000
As 22.821 0.000 2.119
As 5.973 0.000 0.555
```

Summary:
E_form, meV per atom: -46
Space-group type: R-3m, No. 166



Entry 2:
Below is a geometry-optimized V2Ni2Os structure, with properties calculated at the PBE level. Values from VASP.

Cell and atoms, written as Quantum ESPRESSO input:
```
&SYSTEM
  ibrav = 0, nat = 5, ntyp = 3
/
ATOMIC_SPECIES
V 50.94 V.upf
Ni 58.69 Ni.upf
Os 190.23 Os.upf
CELL_PARAMETERS angstrom
-3.011 2.442 2.056
-0.471 -2.500 0.623
2.243 -0.404 5.555
ATOMIC_POSITIONS angstrom
V -0.247 0.118 5.799
V -0.993 -0.581 2.435
Ni 0.384 -1.758 4.240
Ni -1.623 1.296 3.994
Os 0.000 0.000 0.000
```

Summary:
E_form, meV per atom: -164
E above lowest polymorph, meV/atom: 0.0
Space-group type: P-1, No. 2



Entry 3:
Below is a geometry-optimized CdAs2Ru structure, with properties calculated at the PBE level. Values from VASP.

Cell and atoms, written as Quantum ESPRESSO input:
```
&SYSTEM
  ibrav = 0, nat = 4, ntyp = 3
/
ATOMIC_SPECIES
Ru 101.07 Ru.upf
As 74.92 As.upf
Cd 112.41 Cd.upf
CELL_PARAMETERS angstrom
-4.113 6.683 -4.725
-6.570 5.487 -3.261
-4.790 7.588 -1.838
ATOMIC_POSITIONS angstrom
Ru -11.452 14.624 -7.271
As -0.204 0.261 -0.130
As -3.947 5.041 -2.506
Cd -7.604 9.711 -4.828
```

Summary:
E_form, meV per atom: 146
Space-group type: R3m, No. 160



Entry 4:
Below is a geometry-optimized LaMg2InSn structure, with properties calculated at the PBE level. Values from VASP.

Cell and atoms, written as Quantum ESPRESSO input:
```
&SYSTEM
  ibrav = 0, nat = 10, ntyp = 4
/
ATOMIC_SPECIES
La 138.91 La.upf
Mg 24.30 Mg.upf
In 114.82 In.upf
Sn 118.71 Sn.upf
CELL_PARAMETERS angstrom
-4.244 1.391 -1.716
2.942 -3.889 -3.758
-4.291 -7.572 4.475
ATOMIC_POSITIONS angstrom
La -5.253 -5.324 2.006
La -0.340 -4.745 -3.005
Mg -3.484 -8.630 1.621
Mg -2.109 -1.440 -2.621
Mg -2.075 -6.144 0.152
Mg -3.518 -3.925 -1.152
In 0.000 0.000 0.000
In -2.146 -3.786 2.238
Sn -4.789 -7.131 -0.607
Sn -0.804 -2.938 -0.393
```

Summary:
E_form, meV per atom: -366
Space-group type: Cmcm, No. 63



Entry 5:
Below is a geometry-optimized KHg2Pb2 structure, with properties calculated at the PBE level. Values from VASP.

Cell and atoms, written as Quantum ESPRESSO input:
```
&SYSTEM
  ibrav = 0, nat = 5, ntyp = 3
/
ATOMIC_SPECIES
Pb 207.20 Pb.upf
K 39.10 K.upf
Hg 200.59 Hg.upf
CELL_PARAMETERS angstrom
-2.453 -3.060 3.019
4.009 -2.883 0.336
2.890 0.586 7.000
ATOMIC_POSITIONS angstrom
Pb 0.607 -2.723 5.848
Pb 3.839 -2.634 4.507
K 0.000 0.000 0.000
Hg 1.222 -2.223 2.797
Hg 3.224 -3.134 7.557
```

Summary:
E_form, meV per atom: -149
E above lowest polymorph, meV/atom: 0.0
Space-group type: I4/mmm, No. 139



Entry 6:
Below is a geometry-optimized Nd2ZnGa4Cu3 structure, with properties calculated at the PBE level. Values from VASP.

Cell and atoms, written as Quantum ESPRESSO input:
```
&SYSTEM
  ibrav = 0, nat = 10, ntyp = 4
/
ATOMIC_SPECIES
Nd 144.24 Nd.upf
Zn 65.41 Zn.upf
Ga 69.72 Ga.upf
Cu 63.55 Cu.upf
CELL_PARAMETERS angstrom
-3.919 1.100 1.213
-0.957 -4.092 0.619
3.181 0.713 9.634
ATOMIC_POSITIONS angstrom
Nd -1.161 0.729 3.024
Nd 1.904 -1.512 7.526
Zn -0.848 -1.139 5.733
Ga -2.438 -1.496 0.916
Ga 0.000 0.000 0.000
Ga 0.064 1.003 6.735
Ga 0.679 -1.786 3.815
Cu 1.590 0.356 4.817
Cu 0.817 1.172 9.015
Cu -0.074 -1.955 1.535
```

Summary:
E_form, meV per atom: -459
Space-group type: P-4m2, No. 115



Entry 7:
Below is a geometry-optimized Sr4TaP structure, with properties calculated at the PBE level. Values from VASP.

Cell and atoms, written as Quantum ESPRESSO input:
```
&SYSTEM
  ibrav = 0, nat = 6, ntyp = 3
/
ATOMIC_SPECIES
Sr 87.62 Sr.upf
Ta 180.95 Ta.upf
P 30.97 P.upf
CELL_PARAMETERS angstrom
0.000 4.733 4.733
4.733 0.000 4.733
4.733 4.733 0.000
ATOMIC_POSITIONS angstrom
Sr 3.550 5.916 5.916
Sr 5.916 5.916 3.550
Sr 5.916 3.550 5.916
Sr 3.550 3.550 3.550
Ta 7.099 7.099 7.099
P 0.000 0.000 0.000
```

Summary:
E_form, meV per atom: 1133
Space-group type: F-43m, No. 216



Entry 8:
Below is a geometry-optimized La4TeP structure, with properties calculated at the PBE level. Values from VASP.

Cell and atoms, written as Quantum ESPRESSO input:
```
&SYSTEM
  ibrav = 0, nat = 6, ntyp = 3
/
ATOMIC_SPECIES
La 138.91 La.upf
Te 127.60 Te.upf
P 30.97 P.upf
CELL_PARAMETERS angstrom
2.783 -5.661 0.828
-3.076 -4.637 3.086
-2.117 -5.083 -3.189
ATOMIC_POSITIONS angstrom
La 0.482 -8.596 0.685
La -1.960 -8.307 -1.317
La -2.438 -8.085 1.810
La -0.905 -5.774 0.272
Te 0.000 0.000 0.000
P -1.808 -11.536 0.544
```

Summary:
Energy relative to the elements, uncorrected, eV/atom: -0.1084
Space-group type: F-43m, No. 216



Please write out number 5 again, unchanged.
Below is a geometry-optimized KHg2Pb2 structure, with properties calculated at the PBE level. Values from VASP.

Cell and atoms, written as Quantum ESPRESSO input:
```
&SYSTEM
  ibrav = 0, nat = 5, ntyp = 3
/
ATOMIC_SPECIES
Pb 207.20 Pb.upf
K 39.10 K.upf
Hg 200.59 Hg.upf
CELL_PARAMETERS angstrom
-2.453 -3.060 3.019
4.009 -2.883 0.336
2.890 0.586 7.000
ATOMIC_POSITIONS angstrom
Pb 0.607 -2.723 5.848
Pb 3.839 -2.634 4.507
K 0.000 0.000 0.000
Hg 1.222 -2.223 2.797
Hg 3.224 -3.134 7.557
```

Summary:
E_form, meV per atom: -149
E above lowest polymorph, meV/atom: 0.0
Space-group type: I4/mmm, No. 139



- What is the formula in the first record?
  Tc2As3



Please write out number 6 again, unchanged.
Below is a geometry-optimized Nd2ZnGa4Cu3 structure, with properties calculated at the PBE level. Values from VASP.

Cell and atoms, written as Quantum ESPRESSO input:
```
&SYSTEM
  ibrav = 0, nat = 10, ntyp = 4
/
ATOMIC_SPECIES
Nd 144.24 Nd.upf
Zn 65.41 Zn.upf
Ga 69.72 Ga.upf
Cu 63.55 Cu.upf
CELL_PARAMETERS angstrom
-3.919 1.100 1.213
-0.957 -4.092 0.619
3.181 0.713 9.634
ATOMIC_POSITIONS angstrom
Nd -1.161 0.729 3.024
Nd 1.904 -1.512 7.526
Zn -0.848 -1.139 5.733
Ga -2.438 -1.496 0.916
Ga 0.000 0.000 0.000
Ga 0.064 1.003 6.735
Ga 0.679 -1.786 3.815
Cu 1.590 0.356 4.817
Cu 0.817 1.172 9.015
Cu -0.074 -1.955 1.535
```

Summary:
E_form, meV per atom: -459
Space-group type: P-4m2, No. 115